Below is an optimized crystal structure of AcCu6Sn6, with properties calculated at the PBE-GGA level.

Cell lengths 5.7719, 7.3048, 7.3048 Å; angles 78.34, 66.73, 66.73 degrees
Last column: nearest neighbours and their distance in Å.
Fractional positions:
1 Ac 0.0000 0.0000 0.0000  8 Sn 3.17-3.35
2 Cu 0.0000 0.5000 0.0000  6 Sn 2.82-2.96, 4 Cu 2.83-2.89
3 Cu 0.5000 0.5000 0.0000  6 Sn 2.82-2.96, 4 Cu 2.83-2.89
4 Cu 0.0000 0.0000 0.5000  6 Sn 2.82-2.96, 4 Cu 2.83-2.89
5 Cu 0.5000 0.0000 0.5000  6 Sn 2.82-2.96, 4 Cu 2.83-2.89
6 Cu 0.5000 0.7563 0.2437  6 Sn 2.82-3.03, 4 Cu 2.83
7 Cu 0.5000 0.2437 0.7563  6 Sn 2.82-3.03, 4 Cu 2.83
8 Sn 0.3421 0.6579 0.6579  6 Cu 2.82-2.87, 1 Sn 3.08
9 Sn 0.6579 0.3421 0.3421  6 Cu 2.82-2.87, 1 Sn 3.08
10 Sn 0.0000 0.3441 0.6559  1 Sn 2.88, 6 Cu 2.96-3.03, 1 Ac 3.17
11 Sn 0.0000 0.6559 0.3441  1 Sn 2.88, 6 Cu 2.96-3.03, 1 Ac 3.17
12 Sn 0.3253 0.1747 0.1747  6 Cu 2.82
13 Sn 0.6747 0.8253 0.8253  6 Cu 2.82

Computed properties:
N(E_F), states/eV/f.u.: 4.019
SG: Immm (71)
Final energy, hartree per atom: -0.1517

=====

Below is an optimized crystal structure of AcCu4Sn, with properties calculated at the PBE-GGA level.

Cell lengths 5.3796, 5.3796, 5.3796 Å; angles 60.00, 60.00, 60.00 degrees
Last column: nearest neighbours and their distance in Å.
Fractional positions:
1 Ac 0.2500 0.2500 0.2500  12 Cu 3.16, 4 Sn 3.29
2 Sn 0.0000 0.0000 0.0000  12 Cu 3.15, 4 Ac 3.29
3 Cu 0.6264 0.6264 0.1209  6 Cu 2.66-2.72
4 Cu 0.6264 0.1209 0.6264  6 Cu 2.66-2.72
5 Cu 0.6264 0.6264 0.6264  6 Cu 2.66-2.72
6 Cu 0.1209 0.6264 0.6264  6 Cu 2.66-2.72

Computed properties:
N(E_F), states/eV/f.u.: 2.980
SG: F-43m (216)
Final energy, hartree per atom: -0.1532

=====

Below is an optimized crystal structure of Ac2Cu3Sn4, with properties calculated at the PBE-GGA level.

Cell lengths 6.4823, 8.2896, 8.7180 Å; angles 90.00, 111.83, 90.00 degrees
Last column: nearest neighbours and their distance in Å.
Fractional positions:
1 Ac 0.1160 0.5945 0.2320  4 Cu 3.33-3.71, 8 Sn 3.43-3.47
2 Ac 0.8840 0.4055 0.7680  4 Cu 3.33-3.71, 8 Sn 3.43-3.47
3 Ac 0.3840 0.0945 0.7680  4 Cu 3.33-3.71, 8 Sn 3.43-3.47
4 Ac 0.6160 0.9055 0.2320  4 Cu 3.33-3.71, 8 Sn 3.43-3.47
5 Cu 0.0000 0.0000 0.0000  6 Sn 2.78-2.90
6 Cu 0.5000 0.5000 0.0000  6 Sn 2.78-2.90
7 Cu 0.5268 0.7500 0.5536  5 Sn 2.71-3.01
8 Cu 0.9732 0.2500 0.4464  5 Sn 2.71-3.01
9 Cu 0.4732 0.2500 0.4464  5 Sn 2.71-3.01
10 Cu 0.0268 0.7500 0.5536  5 Sn 2.71-3.01
11 Sn 0.6945 0.7500 0.8889  3 Cu 2.71-2.78
12 Sn 0.8055 0.2500 0.1111  3 Cu 2.71-2.78
13 Sn 0.3055 0.2500 0.1111  3 Cu 2.71-2.78
14 Sn 0.1945 0.7500 0.8889  3 Cu 2.71-2.78
15 Sn 0.1788 0.9895 0.3577  5 Cu 2.79-3.01
16 Sn 0.8212 0.0105 0.6423  5 Cu 2.79-3.01
17 Sn 0.3212 0.4895 0.6423  5 Cu 2.79-3.01
18 Sn 0.6788 0.5105 0.3577  5 Cu 2.79-3.01

Computed properties:
N(E_F), states/eV/f.u.: 3.333
SG: Cmce (64)
Final energy, hartree per atom: -0.1621

=====

Below is an optimized crystal structure of Ac3Cu4Sn4, with properties calculated at the PBE-GGA level.

Cell lengths 4.6366, 4.6453, 13.4873 Å; angles 79.98, 80.13, 90.00 degrees
Last column: nearest neighbours and their distance in Å.
Fractional positions:
1 Ac 0.1571 0.6560 0.6877  8 Cu 3.37-3.62, 6 Sn 3.46-3.50
2 Ac 0.8429 0.3440 0.3123  8 Cu 3.37-3.62, 6 Sn 3.46-3.50
3 Ac 0.0000 0.0000 0.0000  4 Cu 3.46-3.47, 8 Sn 3.59-3.60
4 Cu 0.5989 0.0995 0.8032  3 Sn 2.58-2.61
5 Cu 0.2502 0.2492 0.5003  4 Sn 2.68-2.69
6 Cu 0.7498 0.7508 0.4997  4 Sn 2.68-2.69
7 Cu 0.4011 0.9005 0.1968  3 Sn 2.58-2.61
8 Sn 0.5571 0.5565 0.8886  2 Cu 2.58
9 Sn 0.4430 0.4435 0.1114  2 Cu 2.58
10 Sn 0.3010 0.8017 0.3965  5 Cu 2.61-2.69
11 Sn 0.6990 0.1983 0.6035  5 Cu 2.61-2.69

Computed properties:
N(E_F), states/eV/f.u.: 6.989
SG: P-1 (2)
Final energy, hartree per atom: -0.1677
E above lowest polymorph, meV per atom: 0

=====

Below is an optimized crystal structure of Ac2Cu2Sn3, with properties calculated at the PBE-GGA level.

Cell lengths 4.9145, 7.3774, 10.5024 Å; angles 90.00, 103.53, 90.00 degrees
Last column: nearest neighbours and their distance in Å.
Fractional positions:
1 Ac 0.1645 0.2500 0.3290  6 Cu 3.21-3.47, 6 Sn 3.41-3.45
2 Ac 0.8355 0.7500 0.6710  6 Cu 3.21-3.47, 6 Sn 3.41-3.45
3 Ac 0.9533 0.2500 0.9066  9 Sn 3.36-3.70
4 Ac 0.0467 0.7500 0.0934  9 Sn 3.36-3.70
5 Cu 0.6921 0.9275 0.3842  1 Cu 2.62, 3 Sn 2.68-2.84
6 Cu 0.3079 0.0725 0.6158  1 Cu 2.62, 3 Sn 2.68-2.84
7 Cu 0.3079 0.4275 0.6158  1 Cu 2.62, 3 Sn 2.68-2.84
8 Cu 0.6921 0.5725 0.3842  1 Cu 2.62, 3 Sn 2.68-2.84
9 Sn 0.2200 0.7500 0.4400  6 Cu 2.84-2.98
10 Sn 0.7800 0.2500 0.5600  6 Cu 2.84-2.98
11 Sn 0.5691 0.4455 0.1383  1 Cu 2.68, 2 Sn 2.88-2.94
12 Sn 0.4309 0.5545 0.8617  1 Cu 2.68, 2 Sn 2.88-2.94
13 Sn 0.4309 0.9455 0.8617  1 Cu 2.68, 2 Sn 2.88-2.94
14 Sn 0.5691 0.0545 0.1383  1 Cu 2.68, 2 Sn 2.88-2.94

Computed properties:
N(E_F), states/eV/f.u.: 1.345
SG: Cmcm (63)
Final energy, hartree per atom: -0.1673
E above lowest polymorph, meV per atom: 0

=====

Below is an optimized crystal structure of Ac3Cu2Sn2, with properties calculated at the PBE-GGA level.

Cell lengths 4.6524, 4.6493, 10.3601 Å; angles 102.97, 102.98, 90.00 degrees
Last column: nearest neighbours and their distance in Å.
Fractional positions:
1 Ac 0.0000 0.0000 0.0000  8 Cu 3.51, 4 Sn 3.56
2 Ac 0.6812 0.1812 0.3623  2 Cu 3.29, 5 Sn 3.40-3.57
3 Ac 0.3188 0.8188 0.6377  2 Cu 3.29, 5 Sn 3.40-3.57
4 Cu 0.5629 0.5629 0.1257  1 Cu 2.47, 2 Sn 2.75
5 Cu 0.4371 0.4371 0.8743  1 Cu 2.47, 2 Sn 2.75
6 Sn 0.1371 0.6371 0.2743  2 Cu 2.75
7 Sn 0.8629 0.3629 0.7257  2 Cu 2.75

Computed properties:
N(E_F), states/eV/f.u.: 5.723
SG: Immm (71)
Final energy, hartree per atom: -0.1673

=====

Below is an optimized crystal structure of AcCu3Sn3, with properties calculated at the PBE-GGA level.

Cell lengths 7.0606, 7.0606, 8.8416 Å; angles 66.47, 66.47, 60.00 degrees
Last column: nearest neighbours and their distance in Å.
Fractional positions:
1 Ac 0.3406 0.3406 0.9782  3 Cu 3.16, 3 Sn 3.41
2 Ac 0.6594 0.6594 0.0218  3 Cu 3.16, 3 Sn 3.41
3 Cu 0.4791 0.6637 0.6253  4 Cu 2.49-2.65, 3 Sn 2.60-2.72
4 Cu 0.6637 0.2319 0.6253  4 Cu 2.49-2.65, 3 Sn 2.60-2.72
5 Cu 0.2319 0.4791 0.6253  4 Cu 2.49-2.65, 3 Sn 2.60-2.72
6 Cu 0.7681 0.5209 0.3747  4 Cu 2.49-2.65, 3 Sn 2.60-2.72
7 Cu 0.3363 0.7681 0.3747  4 Cu 2.49-2.65, 3 Sn 2.60-2.72
8 Cu 0.5209 0.3363 0.3747  4 Cu 2.49-2.65, 3 Sn 2.60-2.72
9 Sn 0.1194 0.6061 0.2959  3 Cu 2.60-2.72
10 Sn 0.9786 0.1194 0.2959  3 Cu 2.60-2.72
11 Sn 0.6061 0.9786 0.2959  3 Cu 2.60-2.72
12 Sn 0.3939 0.0214 0.7041  3 Cu 2.60-2.72
13 Sn 0.0214 0.8806 0.7041  3 Cu 2.60-2.72
14 Sn 0.8806 0.3939 0.7041  3 Cu 2.60-2.72

Computed properties:
N(E_F), states/eV/f.u.: 2.395
SG: R-3 (148)
Final energy, hartree per atom: -0.1524
E above lowest polymorph, meV per atom: 62

=====

Below is an optimized crystal structure of AcCuSn3, with properties calculated at the PBE-GGA level.

Cell lengths 4.6833, 4.7320, 12.4141 Å; angles 100.99, 90.00, 90.00 degrees
Last column: nearest neighbours and their distance in Å.
Fractional positions:
1 Ac 0.5000 0.8323 0.6645  10 Sn 3.53-3.67, 4 Cu 3.61
2 Ac 0.5000 0.1677 0.3355  10 Sn 3.53-3.67, 4 Cu 3.61
3 Cu 0.0000 0.6109 0.2217  5 Sn 2.57-2.68
4 Cu 0.0000 0.3891 0.7783  5 Sn 2.57-2.68
5 Sn 0.0000 0.0590 0.1180  2 Cu 2.68, 1 Sn 2.88
6 Sn 0.0000 0.9410 0.8820  2 Cu 2.68, 1 Sn 2.88
7 Sn 0.0000 0.2838 0.5676  1 Cu 2.57
8 Sn 0.0000 0.7162 0.4324  1 Cu 2.57
9 Sn 0.5000 0.4413 0.8826  2 Cu 2.66, 1 Sn 2.86
10 Sn 0.5000 0.5587 0.1174  2 Cu 2.66, 1 Sn 2.86

Computed properties:
N(E_F), states/eV/f.u.: 1.685
SG: Cmmm (65)
Final energy, hartree per atom: -0.1637
E above lowest polymorph, meV per atom: 0

=====

E_form for every record listed, in sequence, given in eV per atom: -0.07; -0.09; -0.35; -0.50; -0.49; -0.48; -0.09; -0.41.